1.
{"formula": "Ac4SbTe2S", "functional": "GGA-PBE", "state": "optimized geometry", "magnetic_moment_mub_per_cell": 0.00, "raw_formation_energy_ev_per_atom": -1.548, "cell": [[-4.179, 0.949, 1.721], [-1.966, -7.750, -0.501], [3.335, 1.431, 7.310]], "species": ["Ac", "Ac", "Ac", "Ac", "Sb", "Te", "Te", "S"], "frac_coords": [[0.500, 0.259, 0.231], [0.500, 0.741, 0.769], [0.000, 0.272, 0.777], [0.000, 0.728, 0.223], [0.000, 0.000, 0.000], [0.500, 0.000, 0.500], [0.000, 0.500, 0.500], [0.500, 0.500, 0.000]]}


2.
{"formula": "Ac6Sb2Te3S", "functional": "GGA-PBE", "state": "optimized geometry", "magnetic_moment_mub_per_cell": 0.00, "raw_formation_energy_ev_per_atom": -1.498, "cell": [[4.672, 0.000, 0.000], [0.000, 9.430, 0.268], [-2.336, -2.788, 9.884]], "species": ["Ac", "Ac", "Ac", "Ac", "Ac", "Ac", "Sb", "Sb", "Te", "Te", "Te", "S"], "frac_coords": [[0.346, 0.920, 0.693], [0.668, 0.579, 0.336], [0.654, 0.080, 0.307], [0.999, 0.223, 0.999], [0.001, 0.777, 0.001], [0.332, 0.421, 0.664], [0.835, 0.669, 0.670], [0.165, 0.331, 0.330], [0.500, 0.500, 0.000], [0.828, 0.164, 0.657], [0.172, 0.836, 0.343], [0.500, 0.000, 0.000]]}


- Which formula does entry 2 have?
  Ac6Sb2Te3S